1.
This record from Alexandria describes an optimized crystal structure of Mg6CdCoO8. The functional is PBE with a Hubbard U.

Values from the calculation:
The uncorrected energy is -90.09 eV per cell. Its density of states at the Fermi level is 4.93 states/eV per cell. The calculation puts the total magnetic moment at 3.000 μB/f.u. As for the relative energy among the computed polymorphs: 32 meV per atom.

Cell: 4.363 4.363 8.678 Å, 90.00 90.00 90.00°
Element x y z (fractional)
Mg: 0.000 0.000 0.000
Mg: 0.000 0.000 0.500
Mg: 0.000 0.500 0.242
Mg: 0.000 0.500 0.758
Mg: 0.500 0.000 0.242
Mg: 0.500 0.000 0.758
Cd: 0.500 0.500 0.500
Co: 0.500 0.500 0.000
O: 0.000 0.000 0.250
O: 0.000 0.000 0.750
O: 0.000 0.500 0.000
O: 0.000 0.500 0.500
O: 0.500 0.000 0.000
O: 0.500 0.000 0.500
O: 0.500 0.500 0.234
O: 0.500 0.500 0.766



2.
This record from Alexandria describes an optimized crystal structure of Mg30CdCoO32. The functional is PBE with a Hubbard U.

Values from the calculation:
The uncorrected energy is -377.51 eV per cell. Its density of states at the Fermi level is 6.78 states/eV per cell. The calculation puts the total magnetic moment at 3.000 μB/f.u.

Cell: 8.562 8.562 8.549 Å, 90.00 90.00 90.00°
Element x y z (fractional)
Mg: 0.000 0.000 0.000
Mg: 0.000 0.000 0.500
Mg: 0.000 0.250 0.250
Mg: 0.000 0.250 0.750
Mg: 0.000 0.500 0.000
Mg: 0.000 0.500 0.500
Mg: 0.000 0.750 0.250
Mg: 0.000 0.750 0.750
Mg: 0.247 0.500 0.247
Mg: 0.247 0.500 0.753
Mg: 0.248 0.248 0.500
Mg: 0.248 0.752 0.500
Mg: 0.250 0.000 0.250
Mg: 0.250 0.000 0.750
Mg: 0.251 0.251 0.000
Mg: 0.251 0.749 0.000
Mg: 0.500 0.000 0.000
Mg: 0.500 0.000 0.500
Mg: 0.500 0.247 0.247
Mg: 0.500 0.247 0.753
Mg: 0.500 0.753 0.247
Mg: 0.500 0.753 0.753
Mg: 0.749 0.251 0.000
Mg: 0.749 0.749 0.000
Mg: 0.750 0.000 0.250
Mg: 0.750 0.000 0.750
Mg: 0.752 0.248 0.500
Mg: 0.752 0.752 0.500
Mg: 0.753 0.500 0.247
Mg: 0.753 0.500 0.753
Cd: 0.500 0.500 0.500
Co: 0.500 0.500 0.000
O: 0.000 0.000 0.250
O: 0.000 0.000 0.750
O: 0.000 0.248 0.500
O: 0.000 0.249 0.000
O: 0.000 0.500 0.249
O: 0.000 0.500 0.751
O: 0.000 0.751 0.000
O: 0.000 0.752 0.500
O: 0.237 0.500 0.500
O: 0.244 0.500 0.000
O: 0.248 0.000 0.500
O: 0.249 0.000 0.000
O: 0.251 0.251 0.250
O: 0.251 0.251 0.750
O: 0.251 0.749 0.250
O: 0.251 0.749 0.750
O: 0.500 0.000 0.249
O: 0.500 0.000 0.751
O: 0.500 0.237 0.500
O: 0.500 0.244 0.000
O: 0.500 0.500 0.236
O: 0.500 0.500 0.764
O: 0.500 0.756 0.000
O: 0.500 0.763 0.500
O: 0.749 0.251 0.250
O: 0.749 0.251 0.750
O: 0.749 0.749 0.250
O: 0.749 0.749 0.750
O: 0.751 0.000 0.000
O: 0.752 0.000 0.500
O: 0.756 0.500 0.000
O: 0.763 0.500 0.500



3.
This record from Alexandria describes an optimized crystal structure of Mg6CdCoO8. The functional is PBE with a Hubbard U.

Values from the calculation:
The uncorrected energy is -90.61 eV per cell. The calculation puts the total magnetic moment at 3.011 μB/f.u. As for the relative energy among the computed polymorphs: 0 meV per atom.

Cell: 4.351 4.351 8.727 Å, 90.00 90.00 90.00°
Element x y z (fractional)
Mg: 0.000 0.000 0.000
Mg: 0.000 0.500 0.243
Mg: 0.000 0.500 0.757
Mg: 0.500 0.000 0.243
Mg: 0.500 0.000 0.757
Mg: 0.500 0.500 0.000
Cd: 0.000 0.000 0.500
Co: 0.500 0.500 0.500
O: 0.000 0.000 0.234
O: 0.000 0.000 0.766
O: 0.000 0.500 0.000
O: 0.000 0.500 0.500
O: 0.500 0.000 0.000
O: 0.500 0.000 0.500
O: 0.500 0.500 0.246
O: 0.500 0.500 0.754